A relaxed structure of Sm8Pd2Pt. Source: Alexandria, functional PBE-GGA.

abc: 7.805 7.805 6.220
angles: 100.96 100.96 114.00
Sites, in units of the cell vectors:
Sm (0.000, 0.000, 0.000)
Sm (0.011, 0.270, 0.555)
Sm (0.150, 0.562, 0.176)
Sm (0.270, 0.011, 0.555)
Sm (0.444, 0.702, 0.783)
Sm (0.562, 0.150, 0.176)
Sm (0.702, 0.444, 0.783)
Sm (0.719, 0.719, 0.360)
Pd (0.050, 0.670, 0.682)
Pd (0.670, 0.050, 0.682)
Pt (0.366, 0.366, 0.373)

Computed properties:
E = -5.3238 eV per atom
distance to the lowest polymorph of the same formula = 9.4 kJ/mol of atoms
V = 324.36 Å³ per cell